Density functional theory data (PBE with a Hubbard U) for a relaxed Sr2FeO3F crystal.

Its total magnetic moment is 5.0 μB per cell. The calculation puts the calculated volume at 101 Å³ per cell. As for the symmetry: I4mm. The excess energy over the best structure of this formula in the dataset is 0.010 eV per atom. The raw total energy is -43.89 eV/cell.

Lattice parameters (Å, degrees): 3.9403 3.9403 7.0848 106.15 106.15 90.00
Fractional positions:
Sr1 0.6347 0.6347 0.2693
Sr2 0.3635 0.3635 0.7270
Fe1 0.9813 0.9813 0.9626
O1 0.8316 0.8316 0.6631
O2 0.0059 0.5059 0.0117
O3 0.5059 0.0059 0.0117
F1 0.1773 0.1773 0.3545